Entry from Alexandria: a relaxed structure of Ni3PH (GGA-PBE).

Summary:
Total magnetic moment = 0.00 μB per formula unit
Polymorph energy (0 for the lowest one) = 0.00 eV/f.u.
Final energy = -5.478 eV per atom

```
Ni3PH
1.0
-0.5529 0.6965 -4.3532
-3.7961 0.3946 0.5455
1.0409 5.4813 3.2796
Ni P H
6 2 2
Direct
0.5140 0.7006 0.1080 Ni
0.0915 0.7004 0.5756 Ni
0.7392 0.2006 0.3546 Ni
0.7800 0.7005 0.8382 Ni
0.1614 0.2004 0.8872 Ni
0.4723 0.2005 0.6241 Ni
0.5255 0.7008 0.4514 P
0.7272 0.2008 0.0111 P
0.1655 0.7055 0.8758 H
0.0871 0.2055 0.5871 H
```